# Sc2BiO2

A relaxed Sc2BiO2 crystal (PBE, Alexandria).

Calculated values
- Fermi-level density of states: 1.8 states/eV per cell
- Excess energy over the best structure of this formula in the dataset: 0.601 eV/atom
- Symmetry: P4/mmm, No. 123

Unit cell a=3.518 b=3.518 c=6.868 alpha=90.00 beta=90.00 gamma=90.00
Element x y z (fractional)
Sc  0.500  0.500  0.316
Sc  0.500  0.500  0.684
O  0.000  0.500  0.500
O  0.500  0.000  0.500
Bi  0.000  0.000  0.000

# Sc2BiO

A relaxed Sc2BiO crystal (PBE, Alexandria).

Calculated values
- Fermi-level density of states: 3.6 states/eV per cell
- Excess energy over the best structure of this formula in the dataset: 0.495 eV/atom
- Symmetry: R-3m, No. 166

Unit cell a=8.397 b=8.397 c=8.397 alpha=23.19 beta=23.19 gamma=23.19
Element x y z (fractional)
Bi  0.000  0.000  0.000
O  0.500  0.500  0.500
Sc  0.120  0.120  0.120
Sc  0.880  0.880  0.880

# Sc4Bi5O

A relaxed Sc4Bi5O crystal (PBE, Alexandria).

Calculated values
- Fermi-level density of states: 4.6 states/eV per cell
- Total DFT energy (no corrections): -5.761 eV/atom
- Symmetry: C2/m, No. 12

Unit cell a=3.392 b=8.839 c=8.658 alpha=95.91 beta=101.30 gamma=90.00
Element x y z (fractional)
Sc  0.989  0.168  0.977
Sc  0.642  0.066  0.284
Sc  0.358  0.934  0.716
Sc  0.011  0.832  0.023
Bi  0.182  0.795  0.365
Bi  0.500  0.500  0.000
Bi  0.152  0.370  0.303
Bi  0.818  0.205  0.635
Bi  0.848  0.630  0.697
O  0.500  0.000  0.000

What did the second record say?
# Sc2BiO

A relaxed Sc2BiO crystal (PBE, Alexandria).

Calculated values
- Fermi-level density of states: 3.6 states/eV per cell
- Excess energy over the best structure of this formula in the dataset: 0.495 eV/atom
- Symmetry: R-3m, No. 166

Unit cell a=8.397 b=8.397 c=8.397 alpha=23.19 beta=23.19 gamma=23.19
Element x y z (fractional)
Bi  0.000  0.000  0.000
O  0.500  0.500  0.500
Sc  0.120  0.120  0.120
Sc  0.880  0.880  0.880